[1]
The following is a GGA-PBE calculation of KZrNO after structural relaxation, from the Alexandria database.

E_tot = -7.511 eV/atom

Structure (POSCAR):
```
KZrNO
1.0
-1.233 1.544 -2.666
-1.916 -2.061 1.757
-0.418 4.574 4.907
N K Zr O
1 1 1 1
direct
0.083 0.939 0.038
0.967 0.382 0.364
0.312 0.554 0.881
0.515 0.155 0.686
```


[2]
The following is a GGA-PBE calculation of Ba2BeSnPd6 after structural relaxation, from the Alexandria database.

energy of formation from the pure elements = -0.54 eV/atom
E_tot = -4.813 eV/atom

Structure (POSCAR):
```
Ba2BeSnPd6
1.0
6.560 0.024 0.015
-0.008 7.036 0.367
3.267 3.806 4.994
Sn Pd Ba Be
1 6 2 1
direct
0.000 0.000 0.000
0.829 0.737 0.908
0.263 0.173 0.473
0.736 0.263 0.094
0.264 0.737 0.906
0.171 0.263 0.092
0.737 0.827 0.527
0.283 0.717 0.434
0.717 0.283 0.566
0.500 0.500 0.000
```


[3]
The following is a GGA-PBE calculation of PuTlHgBi after structural relaxation, from the Alexandria database.

energy of formation from the pure elements = -0.21 eV/atom
energy above the lowest structure with this stoichiometry = 0.0 meV per atom
E_tot = -5.429 eV/atom

Structure (POSCAR):
```
PuTlHgBi
1.0
-4.368 1.004 -1.224
-0.961 -5.018 -0.688
-1.314 -0.352 4.402
Bi Pu Hg Tl
1 1 1 1
direct
0.000 0.500 0.500
0.500 0.500 0.000
0.500 0.000 0.500
0.000 0.000 0.000
```


Among the records above, which one has the lowest E_tot? KZrNO


E_tot of number 3 (PuTlHgBi)? -5.429 eV/atom


What is the formula in the third record? PuTlHgBi